First-principles (PBE) data for RbHfAsBr2 after structural relaxation, as listed in Alexandria.

Cell: 5.764 5.764 5.770 Å, 90.00 90.00 90.00°
Each line ends with the local moment (μB).
Sites, in units of the cell vectors:
Br: 0.500 0.000 0.000  0.00
Br: 0.000 0.500 0.000  0.00
Hf: 0.500 0.500 0.500  0.47
Rb: 0.000 0.000 0.000  0.00
As: 0.000 0.000 0.500  0.04

Symmetry   P4/mmm (123)
Calculated total energy   -2.832 eV per atom
E_form (uncorrected)   0.95 eV per atom
Energy relative to the lowest polymorph listed for this composition   1.881 eV/atom
Total magnetization   0.81 μB per cell